Material: La3Ce2Pb4
Method: DFT, GGA-PBE
State: relaxed

```
La3Ce2Pb4
1.0
-2.386 1.536 3.557
6.661 -3.626 3.124
0.222 9.469 -3.939
La Ce Pb
3 2 4
direct
0.641 0.281 0.733
0.000 0.000 0.000
0.359 0.719 0.267
0.699 0.398 0.398
0.301 0.602 0.602
0.673 0.345 0.074
0.327 0.655 0.926
0.948 0.896 0.600
0.052 0.104 0.400
```

Computed properties:
Formation enthalpy at 0 K = -357 kJ/mol of formula units
Relative energy among the computed polymorphs = 25.1 meV/atom
DFT total energy = -45.2 eV per formula unit